This record from Alexandria via LeMat-Bulk describes a relaxed structure of LiZn4Cu. The functional is GGA-PBE.

Results
**Energy of formation from the pure elements**: -0.108 eV/atom
**Total magnetic moment**: 0.00 μB per cell

CIF file:
```
data_LiZn4Cu
_chemical_formula_sum 'Li1 Zn4 Cu1'
_space_group_name_H-M_alt 'P 1 m 1'
_space_group_IT_number 6
_cell_length_a 2.701
_cell_length_b 4.359
_cell_length_c 7.243
_cell_angle_alpha 90.00
_cell_angle_beta 100.52
_cell_angle_gamma 90.00
loop_
_space_group_symop_operation_xyz
'x,y,z'
'x,-y,z'
loop_
_atom_site_label
_atom_site_type_symbol
_atom_site_fract_x
_atom_site_fract_y
_atom_site_fract_z
Li1 Li 0.000 0.000 0.000
Zn1 Zn 0.329 0.000 0.661
Zn2 Zn 0.556 0.500 0.121
Zn3 Zn 0.664 0.000 0.334
Zn4 Zn 0.883 0.500 0.780
Cu1 Cu 0.215 0.500 0.444
```

This record from Alexandria via LeMat-Bulk describes a relaxed structure of Li2Zn2Cu. The functional is GGA-PBE.

Results
**Energy of formation from the pure elements**: 0.038 eV/atom
**Total magnetic moment**: 0.00 μB per cell

CIF file:
```
data_Li2Zn2Cu
_chemical_formula_sum 'Li4 Zn4 Cu2'
_space_group_name_H-M_alt 'P 4/m b m'
_space_group_IT_number 127
_space_group_name_Hall '-P 4 2ab'
_cell_length_a 7.043
_cell_length_b 7.043
_cell_length_c 2.794
_cell_angle_alpha 90.00
_cell_angle_beta 90.00
_cell_angle_gamma 90.00
loop_
_atom_site_label
_atom_site_type_symbol
_atom_site_fract_x
_atom_site_fract_y
_atom_site_fract_z
Li1 Li 0.132 0.368 0.000
Zn1 Zn 0.166 0.666 0.500
Cu1 Cu 0.000 0.000 0.000
```

Across the entries above, distance to the lowest polymorph of the same formula takes the values 0.000, 1.060 eV per formula unit, respectively.